Entry from Alexandria: an optimized crystal structure of CsInP (PBE).

a = 4.3377 Å, b = 4.3377 Å, c = 6.4509 Å
α = 90.00°, β = 90.00°, γ = 120.00°
With the nearest neighbours (Å) after each atom.
Space group P3m1 (No. 156)
Symmetry-distinct sites (fractional):
Cs 0.0000 0.0000 0.0000 x1  3 P 3.61, 3 In 3.90
In 0.3333 0.6667 0.5365 x1  3 P 2.65
P 0.6667 0.3333 0.4023 x1  3 In 2.65

## Properties
Formation energy from the elements   -180 meV/atom
M_tot   0.0 μB per formula unit
VASP energy   -3.1807 eV/atom
Offset from the most stable computed form   0.28 eV/f.u.
V   105 Å³ per cell

Entry from Alexandria: an optimized crystal structure of Ba6Bi2SBr3 (PBE).

a = 21.2908 Å, b = 4.9279 Å, c = 9.7224 Å
α = 90.00°, β = 102.54°, γ = 90.00°
With the nearest neighbours (Å) after each atom.
Space group C2/m (No. 12)
Symmetry-distinct sites (fractional):
Ba 0.0019 0.0000 0.2242 x4  2 S 3.28, 1 Bi 3.40, 3 Br 3.47-3.65
Ba 0.1560 0.5000 0.0777 x4  1 S 3.24, 2 Bi 3.42, 2 Br 3.47
Ba 0.1681 0.5000 0.5746 x4  3 Bi 3.45-3.48, 3 Br 3.49-3.51
Bi 0.1649 0.0000 0.3244 x4  6 Ba 3.40-3.48
S 0.0000 0.5000 0.0000 x2  6 Ba 3.24-3.28
Br 0.0000 0.5000 0.5000 x2  6 Ba 3.49-3.65
Br 0.1645 0.0000 0.8303 x4  6 Ba 3.47-3.73

## Properties
Uncorrected formation energy   -1.55 eV per atom
M_tot   0.0 μB per formula unit
VASP energy   -3.9236 eV/atom
V   996 Å³ per cell

Entry from Alexandria: an optimized crystal structure of IrSe2 (PBE).

a = 3.1061 Å, b = 3.1061 Å, c = 12.6089 Å
α = 90.00°, β = 90.00°, γ = 90.00°
With the nearest neighbours (Å) after each atom.
Space group I4/mmm (No. 139)
Symmetry-distinct sites (fractional):
Ir 0.0000 0.0000 0.0000 x2  8 Se 2.68
Se 0.0000 0.0000 0.3778 x4  4 Ir 2.68

## Properties
Uncorrected formation energy   0.28 eV per atom
M_tot   0.0 μB per formula unit
VASP energy   -4.9933 eV/atom
V   122 Å³ per cell

Entry from Alexandria: an optimized crystal structure of La2ZnGa2 (PBE).

a = 10.9276 Å, b = 4.6582 Å, c = 11.1477 Å
α = 90.00°, β = 119.06°, γ = 90.00°
With the nearest neighbours (Å) after each atom.
Space group C2/m (No. 12)
Symmetry-distinct sites (fractional):
La 0.0203 0.0000 0.3353 x4  4 Zn 3.19-3.28, 7 Ga 3.20-3.44
La 0.1812 0.0000 0.0955 x4  6 Ga 3.21-3.35, 1 La 3.47, 2 Zn 3.51
Zn 0.2274 0.5000 0.3503 x4  4 Ga 2.63-2.93
Ga 0.0113 0.5000 0.8811 x4  1 Zn 2.63, 1 Ga 2.78
Ga 0.1402 0.5000 0.5608 x4  3 Zn 2.67-2.93, 1 Ga 2.68

## Properties
Formation energy from the elements   -566 meV/atom
M_tot   0.0 μB per formula unit
VASP energy   -4.0021 eV/atom
Offset from the most stable computed form   0.00 eV/f.u.
V   496 Å³ per cell

Entry from Alexandria: an optimized crystal structure of Ni2S (PBE).

a = 3.4748 Å, b = 4.2352 Å, c = 5.1017 Å
α = 90.00°, β = 90.12°, γ = 90.00°
With the nearest neighbours (Å) after each atom.
Space group P2_1 (No. 4)
Symmetry-distinct sites (fractional):
Ni 0.2284 0.0000 0.0760 x2  4 S 2.23-2.38
Ni 0.2496 0.2244 0.5881 x2  3 S 2.15-2.22
S 0.2543 0.4913 0.2295 x2  7 Ni 2.15-2.38

## Properties
Uncorrected formation energy   -0.18 eV per atom
M_tot   0.0 μB per formula unit
VASP energy   -5.4089 eV/atom
V   75 Å³ per cell

Entry from Alexandria: an optimized crystal structure of NaSbPb (PBE).

a = 7.1553 Å, b = 5.3263 Å, c = 9.7410 Å
α = 90.00°, β = 90.00°, γ = 90.00°
With the nearest neighbours (Å) after each atom.
Space group Pnma (No. 62)
Symmetry-distinct sites (fractional):
Na 0.2489 0.2500 0.2414 x4  6 Sb 3.45-3.83, 5 Pb 3.48-3.63, 2 Na 3.58
Sb 0.0342 0.7500 0.4248 x4  2 Sb 3.08, 2 Pb 3.12-3.25
Pb 0.0300 0.2500 0.9051 x4  2 Sb 3.12-3.25, 2 Pb 3.27, 2 Na 3.48

## Properties
Uncorrected formation energy   -0.18 eV per atom
M_tot   0.0 μB per formula unit
VASP energy   -3.2335 eV/atom
V   371 Å³ per cell

Entry from Alexandria: an optimized crystal structure of Be3TlSi (PBE).

a = 4.5416 Å, b = 4.5416 Å, c = 4.5416 Å
α = 90.00°, β = 90.00°, γ = 90.00°
With the nearest neighbours (Å) after each atom.
Space group Pm-3m (No. 221)
Symmetry-distinct sites (fractional):
Be 0.0000 0.0000 0.5000 x3  2 Tl 2.27
Tl 0.0000 0.0000 0.0000 x1  6 Be 2.27
Si 0.5000 0.5000 0.5000 x1  12 Be 3.21

## Properties
Uncorrected formation energy   1.45 eV per atom
M_tot   0.0 μB per formula unit
VASP energy   -2.3412 eV/atom
Offset from the most stable computed form   3.12 eV/f.u.
V   94 Å³ per cell

Entry from Alexandria: an optimized crystal structure of Sr3Cu5F12 (PBE).

a = 13.3543 Å, b = 13.3543 Å, c = 13.3543 Å
α = 90.00°, β = 90.00°, γ = 90.00°
With the nearest neighbours (Å) after each atom.
Space group Ia-3d (No. 230)
Symmetry-distinct sites (fractional):
Sr 0.0000 0.2500 0.1250 x24  8 F 2.52-2.56
Cu 0.0000 0.0000 0.0000 x16  6 F 2.20
Cu 0.0000 0.2500 0.3750 x24  4 F 2.07
F 0.0231 0.0612 0.6510 x96  2 Cu 2.07-2.20

## Properties
Uncorrected formation energy   -2.33 eV per atom
M_tot   1.2 μB per formula unit
VASP energy   -4.7330 eV/atom
V   2382 Å³ per cell